Here is a relaxed BaZrTa2Ni crystal from the Alexandria database. Energies are from PBE.

abc: 5.046 5.189 5.046
angles: 90.00 90.00 90.00
Fractional positions:
Ni: 0.500 0.500 0.500
Ba: 0.000 0.000 0.000
Zr: 0.000 0.500 0.000
Ta: 0.000 0.000 0.500
Ta: 0.500 0.000 0.000

Properties
The formation enthalpy at 0 K comes out at 14.4 eV per formula unit. For the total magnetic moment, the calculation gives 0.00 μB/f.u. The crystal system is tetragonal.



Here is a relaxed Ba2TbNi9 crystal from the Alexandria database. Energies are from PBE.

abc: 5.085 5.085 9.177
angles: 73.92 73.92 60.00
Fractional positions:
Ba: 0.862 0.862 0.415
Ba: 0.138 0.138 0.585
Tb: 0.000 0.000 0.000
Ni: 0.668 0.668 0.997
Ni: 0.332 0.332 0.003
Ni: 0.500 0.500 0.500
Ni: 0.428 0.428 0.221
Ni: 0.923 0.428 0.221
Ni: 0.428 0.923 0.221
Ni: 0.572 0.572 0.779
Ni: 0.572 0.077 0.779
Ni: 0.077 0.572 0.779

Properties
The formation enthalpy at 0 K comes out at -0.5 eV per formula unit. For the total magnetic moment, the calculation gives 2.23 μB/f.u. The crystal system is trigonal.



Here is a relaxed BaTb2Ni crystal from the Alexandria database. Energies are from PBE.

abc: 3.971 3.971 10.866
angles: 79.47 79.47 60.00
Fractional positions:
Ni: 0.500 0.500 0.500
Tb: 0.122 0.122 0.635
Tb: 0.878 0.878 0.365
Ba: 0.000 0.000 0.000

Properties
The formation enthalpy at 0 K comes out at 0.1 eV per formula unit. For the total magnetic moment, the calculation gives 0.00 μB/f.u. The crystal system is trigonal.



Here is a relaxed BaTc2Ni crystal from the Alexandria database. Energies are from PBE.

abc: 4.564 4.564 3.417
angles: 90.00 90.00 90.00
Fractional positions:
Ba: 0.500 0.000 0.500
Ni: 0.000 0.500 0.500
Tc: 0.000 0.000 0.000
Tc: 0.500 0.500 0.000

Properties
The formation enthalpy at 0 K comes out at 5.7 eV per formula unit. For the total magnetic moment, the calculation gives 0.00 μB/f.u. The crystal system is tetragonal. As for the energy above the most stable polymorph in this dataset: 100.4 kJ per mole of atoms.



Here is a relaxed BaTc2Ni crystal from the Alexandria database. Energies are from PBE.

abc: 5.809 5.809 2.822
angles: 90.00 90.00 126.69
Fractional positions:
Ba: 0.500 0.000 0.500
Ni: 0.000 0.500 0.500
Tc: 0.000 0.000 0.000
Tc: 0.500 0.500 0.000

Properties
The formation enthalpy at 0 K comes out at 5.0 eV per formula unit. For the total magnetic moment, the calculation gives 0.66 μB/f.u. The crystal system is orthorhombic. As for the energy above the most stable polymorph in this dataset: 83.2 kJ per mole of atoms.



Here is a relaxed BaTcNi2 crystal from the Alexandria database. Energies are from PBE.

abc: 4.662 4.662 4.662
angles: 60.00 60.00 60.00
Fractional positions:
Ba: 0.500 0.500 0.500
Ni: 0.000 0.000 0.000
Ni: 0.250 0.250 0.250
Tc: 0.750 0.750 0.750

Properties
The formation enthalpy at 0 K comes out at 4.1 eV per formula unit. For the total magnetic moment, the calculation gives 2.84 μB/f.u. The crystal system is cubic. As for the energy above the most stable polymorph in this dataset: 79.7 kJ per mole of atoms.



Here is a relaxed BaTc2Ni crystal from the Alexandria database. Energies are from PBE.

abc: 4.691 4.691 4.691
angles: 119.99 119.99 90.02
Fractional positions:
Ba: 0.500 0.500 0.000
Ni: 0.750 0.250 0.500
Tc: 0.000 0.000 0.000
Tc: 0.250 0.750 0.500

Properties
The formation enthalpy at 0 K comes out at 4.3 eV per formula unit. For the total magnetic moment, the calculation gives 0.20 μB/f.u. The crystal system is cubic. As for the energy above the most stable polymorph in this dataset: 65.2 kJ per mole of atoms.



Here is a relaxed BaTc2Ni crystal from the Alexandria database. Energies are from PBE.

abc: 4.286 4.286 6.421
angles: 70.43 70.43 60.01
Fractional positions:
Ba: 0.750 0.750 0.750
Ni: 0.250 0.250 0.250
Tc: 0.936 0.936 0.192
Tc: 0.564 0.564 0.308

Properties
The formation enthalpy at 0 K comes out at 1.7 eV per formula unit. For the total magnetic moment, the calculation gives 0.00 μB/f.u. The crystal system is monoclinic. As for the energy above the most stable polymorph in this dataset: 4.2 kJ per mole of atoms.



total magnetic moment of number 1 (BaZrTa2Ni)? 0.00 μB/f.u.